Record 1
Density functional theory data (PBEsol) for a relaxed structure of Ba3LiRu2O9.

a b c (Å): 5.752 5.752 14.121
angles (deg): 90.00 90.00 120.00
Each line ends with the local moment (μB).
Atoms (fractional coordinates):
O: 0.347 0.173 0.915  0.20
O: 0.347 0.173 0.585  0.20
O: 0.827 0.173 0.915  0.20
O: 0.516 0.032 0.750  0.06
O: 0.484 0.516 0.250  0.06
O: 0.173 0.827 0.415  0.20
O: 0.173 0.347 0.415  0.20
O: 0.827 0.173 0.585  0.20
O: 0.032 0.516 0.250  0.06
O: 0.173 0.347 0.085  0.20
O: 0.484 0.968 0.250  0.06
O: 0.827 0.653 0.915  0.20
O: 0.968 0.484 0.750  0.06
O: 0.827 0.653 0.585  0.20
O: 0.653 0.827 0.085  0.20
O: 0.516 0.484 0.750  0.06
O: 0.173 0.827 0.085  0.20
O: 0.653 0.827 0.415  0.20
Ba: 0.333 0.667 0.589  0.02
Ba: 0.000 0.000 0.250  0.02
Ba: 0.000 0.000 0.750  0.02
Ba: 0.333 0.667 0.911  0.02
Ba: 0.667 0.333 0.089  0.02
Ba: 0.667 0.333 0.411  0.02
Ru: 0.333 0.667 0.153  1.50
Ru: 0.333 0.667 0.347  1.50
Ru: 0.667 0.333 0.653  1.50
Ru: 0.667 0.333 0.847  1.50
Li: 0.000 0.000 0.500  0.00
Li: 0.000 0.000 0.000  0.00

- E_form (uncorrected) (eV per atom) = -1.937
- total energy (eV/atom) = -7.00

***

Record 2
Density functional theory data (PBEsol) for a relaxed structure of Ba3LiTi5Sb3O21.

a b c (Å): 9.053 9.079 11.650
angles (deg): 90.00 90.00 119.90
Atoms (fractional coordinates):
O: 0.688 0.520 0.601
O: 0.796 0.795 0.749
O: 0.319 0.834 0.899
O: 0.485 0.317 0.102
O: 0.487 0.170 0.609
O: 0.515 0.683 0.602
O: 0.832 0.317 0.602
O: 0.826 0.511 0.393
O: 0.003 0.797 0.574
O: 0.835 0.315 0.900
O: 0.803 0.000 0.918
O: 0.479 0.315 0.400
O: 0.513 0.830 0.109
O: 0.207 0.000 0.072
O: 0.832 0.520 0.101
O: 0.312 0.480 0.101
O: 0.168 0.683 0.102
O: 0.317 0.830 0.609
O: 0.165 0.685 0.400
O: 0.793 0.000 0.572
O: 0.999 0.795 0.926
O: 0.202 0.000 0.752
O: 0.204 0.205 0.249
O: 0.486 0.166 0.899
O: 0.168 0.480 0.601
O: 0.685 0.511 0.893
O: 0.795 0.797 0.074
O: 0.205 0.203 0.574
O: 0.999 0.795 0.249
O: 0.001 0.205 0.426
O: 0.797 0.795 0.426
O: 0.174 0.489 0.893
O: 0.197 0.000 0.418
O: 0.681 0.166 0.399
O: 0.521 0.685 0.900
O: 0.997 0.203 0.074
O: 0.514 0.834 0.399
O: 0.683 0.170 0.109
O: 0.315 0.489 0.393
O: 0.798 0.000 0.252
O: 0.001 0.205 0.749
O: 0.203 0.205 0.926
Ti: 0.989 0.741 0.404
Ti: 0.996 0.248 0.587
Ti: 0.252 0.248 0.087
Ti: 0.004 0.752 0.087
Ti: 0.249 0.259 0.404
Ti: 0.256 0.000 0.912
Ti: 0.748 0.752 0.587
Ti: 0.751 0.741 0.904
Ti: 0.011 0.259 0.904
Ti: 0.744 0.000 0.412
Sb: 0.669 0.333 0.000
Sb: 0.331 0.667 0.500
Sb: 0.240 0.000 0.586
Sb: 0.760 0.000 0.086
Sb: 0.664 0.333 0.500
Sb: 0.336 0.667 0.000
Ba: 0.601 0.000 0.751
Ba: 0.001 0.404 0.249
Ba: 0.597 0.596 0.249
Ba: 0.403 0.404 0.749
Ba: 0.999 0.596 0.749
Ba: 0.399 0.000 0.251
Li: 0.003 0.000 0.273
Li: 0.997 0.000 0.773

- E_form (uncorrected) (eV per atom) = -2.578
- total energy (eV/atom) = -7.85

***

Record 3
Density functional theory data (PBEsol) for a relaxed structure of Ba6Li2Ti7Sb9O42.

a b c (Å): 9.158 9.158 11.825
angles (deg): 90.08 90.08 119.85
Atoms (fractional coordinates):
O: 0.314 0.484 0.395
O: 0.512 0.685 0.607
O: 0.828 0.314 0.607
O: 0.001 0.800 0.250
O: 0.489 0.172 0.893
O: 0.686 0.516 0.897
O: 0.686 0.169 0.396
O: 0.799 0.799 0.750
O: 0.316 0.836 0.902
O: 0.171 0.486 0.606
O: 0.679 0.169 0.107
O: 0.206 0.206 0.248
O: 0.997 0.204 0.072
O: 0.794 0.999 0.572
O: 0.478 0.310 0.100
O: 0.685 0.512 0.607
O: 0.802 0.998 0.918
O: 0.516 0.831 0.397
O: 0.207 0.207 0.572
O: 0.000 0.196 0.419
O: 0.836 0.316 0.902
O: 0.998 0.802 0.918
O: 0.827 0.514 0.108
O: 0.484 0.314 0.395
O: 0.200 0.001 0.753
O: 0.172 0.489 0.893
O: 0.310 0.478 0.100
O: 0.800 0.800 0.418
O: 0.486 0.171 0.606
O: 0.516 0.686 0.897
O: 0.514 0.827 0.108
O: 0.169 0.679 0.107
O: 0.001 0.200 0.753
O: 0.169 0.686 0.396
O: 0.314 0.828 0.607
O: 0.196 0.000 0.419
O: 0.800 0.001 0.250
O: 0.831 0.516 0.397
O: 0.999 0.794 0.572
O: 0.201 0.201 0.926
O: 0.204 0.997 0.072
O: 0.793 0.793 0.072
Li: 0.999 0.999 0.793
Li: 0.004 0.004 0.283
Ti: 0.258 0.258 0.399
Ti: 0.741 0.741 0.902
Ti: 0.250 0.250 0.086
Ti: 0.009 0.263 0.908
Ti: 0.263 0.009 0.908
Ti: 0.999 0.740 0.401
Ti: 0.740 0.999 0.401
Ba: 0.402 0.003 0.249
Ba: 0.003 0.402 0.249
Ba: 0.402 0.402 0.754
Ba: 0.596 0.001 0.753
Ba: 0.591 0.591 0.247
Ba: 0.001 0.596 0.753
Sb: 0.002 0.757 0.084
Sb: 0.757 0.002 0.084
Sb: 0.666 0.333 0.500
Sb: 0.334 0.667 0.000
Sb: 0.000 0.243 0.587
Sb: 0.243 0.000 0.587
Sb: 0.754 0.754 0.585
Sb: 0.333 0.666 0.500
Sb: 0.667 0.334 0.000

- E_form (uncorrected) (eV per atom) = -2.317
- total energy (eV/atom) = -7.42

***

Record 4
Density functional theory data (PBEsol) for a relaxed structure of Ba4LiTa3O12.

a b c (Å): 5.781 5.781 19.083
angles (deg): 90.00 90.00 120.00
Atoms (fractional coordinates):
O: 0.173 0.345 0.882
O: 0.662 0.831 0.621
O: 0.827 0.173 0.382
O: 0.160 0.840 0.243
O: 0.840 0.680 0.743
O: 0.160 0.320 0.243
O: 0.169 0.338 0.621
O: 0.002 0.501 0.503
O: 0.338 0.169 0.121
O: 0.827 0.655 0.382
O: 0.501 0.499 0.003
O: 0.831 0.169 0.121
O: 0.655 0.827 0.882
O: 0.998 0.499 0.003
O: 0.840 0.160 0.743
O: 0.831 0.662 0.121
O: 0.320 0.160 0.743
O: 0.499 0.501 0.503
O: 0.345 0.173 0.382
O: 0.501 0.002 0.003
O: 0.173 0.827 0.882
O: 0.499 0.998 0.503
O: 0.680 0.840 0.243
O: 0.169 0.831 0.621
Ba: 0.667 0.333 0.631
Ba: 0.000 0.000 0.496
Ba: 0.333 0.667 0.355
Ba: 0.667 0.333 0.855
Ba: 0.333 0.667 0.753
Ba: 0.667 0.333 0.253
Ba: 0.000 0.000 0.996
Ba: 0.333 0.667 0.131
Ta: 0.333 0.667 0.934
Ta: 0.000 0.000 0.690
Ta: 0.000 0.000 0.190
Ta: 0.333 0.667 0.561
Ta: 0.667 0.333 0.061
Ta: 0.667 0.333 0.434
Li: 0.000 0.000 0.834
Li: 0.000 0.000 0.334

- E_form (uncorrected) (eV per atom) = -2.990
- total energy (eV/atom) = -8.55

***

Record 5
Density functional theory data (PBEsol) for a relaxed structure of Ba3LiTa3Ti5O21.

a b c (Å): 9.062 9.100 11.582
angles (deg): 90.00 90.00 119.86
Atoms (fractional coordinates):
O: 0.799 0.795 0.748
O: 0.193 0.000 0.751
O: 0.688 0.168 0.397
O: 0.682 0.164 0.100
O: 0.828 0.514 0.393
O: 0.520 0.832 0.397
O: 0.482 0.315 0.101
O: 0.190 0.000 0.421
O: 0.810 0.000 0.921
O: 0.518 0.685 0.601
O: 0.520 0.690 0.898
O: 0.802 0.800 0.426
O: 0.480 0.168 0.897
O: 0.172 0.486 0.893
O: 0.482 0.164 0.600
O: 0.314 0.482 0.098
O: 0.833 0.315 0.601
O: 0.168 0.482 0.598
O: 0.995 0.795 0.248
O: 0.998 0.800 0.926
O: 0.212 0.209 0.574
O: 0.997 0.209 0.074
O: 0.167 0.685 0.101
O: 0.480 0.310 0.398
O: 0.807 0.000 0.251
O: 0.832 0.518 0.098
O: 0.201 0.205 0.248
O: 0.005 0.205 0.748
O: 0.686 0.518 0.598
O: 0.518 0.836 0.100
O: 0.002 0.200 0.426
O: 0.003 0.791 0.574
O: 0.830 0.310 0.898
O: 0.686 0.514 0.893
O: 0.170 0.690 0.398
O: 0.207 0.000 0.075
O: 0.788 0.791 0.074
O: 0.312 0.832 0.897
O: 0.314 0.486 0.393
O: 0.318 0.836 0.600
O: 0.198 0.200 0.926
O: 0.793 0.000 0.575
Ba: 0.401 0.000 0.252
Ba: 0.994 0.593 0.751
Ba: 0.599 0.000 0.752
Ba: 0.401 0.407 0.751
Ba: 0.006 0.407 0.251
Ba: 0.599 0.593 0.251
Ti: 0.748 0.741 0.906
Ti: 0.249 0.249 0.089
Ti: 0.007 0.259 0.906
Ti: 0.749 0.000 0.414
Ti: 0.000 0.751 0.089
Ti: 0.000 0.249 0.589
Ti: 0.751 0.751 0.589
Ti: 0.993 0.741 0.406
Ti: 0.251 0.000 0.914
Ti: 0.252 0.259 0.406
Ta: 0.237 0.000 0.589
Ta: 0.666 0.332 0.999
Ta: 0.763 0.000 0.089
Ta: 0.334 0.668 0.499
Ta: 0.333 0.668 0.999
Ta: 0.667 0.332 0.499
Li: 0.008 0.000 0.285
Li: 0.992 0.000 0.785

- E_form (uncorrected) (eV per atom) = -3.038
- total energy (eV/atom) = -9.04

***

Record 6
Density functional theory data (PBEsol) for a relaxed structure of Ba6Li2Ti16O39.

a b c (Å): 9.085 9.549 9.549
angles (deg): 104.78 96.74 83.26
Atoms (fractional coordinates):
O: 0.906 0.114 0.886
O: 0.298 0.093 0.235
O: 0.430 0.467 0.868
O: 0.884 0.804 0.531
O: 0.000 0.500 0.500
O: 0.759 0.065 0.595
O: 0.000 0.183 0.183
O: 0.000 0.817 0.817
O: 0.430 0.132 0.533
O: 0.620 0.035 0.300
O: 0.085 0.336 0.998
O: 0.241 0.935 0.405
O: 0.884 0.469 0.196
O: 0.094 0.886 0.114
O: 0.380 0.300 0.035
O: 0.915 0.664 0.002
O: 0.241 0.595 0.065
O: 0.915 0.339 0.661
O: 0.380 0.965 0.700
O: 0.562 0.201 0.799
O: 0.438 0.799 0.201
O: 0.606 0.383 0.617
O: 0.394 0.617 0.383
O: 0.296 0.429 0.571
O: 0.570 0.533 0.132
O: 0.702 0.907 0.765
O: 0.085 0.002 0.664
O: 0.085 0.661 0.339
O: 0.620 0.700 0.965
O: 0.763 0.740 0.260
O: 0.116 0.531 0.804
O: 0.237 0.260 0.740
O: 0.116 0.196 0.469
O: 0.704 0.571 0.429
O: 0.915 0.998 0.336
O: 0.570 0.868 0.467
O: 0.702 0.235 0.093
O: 0.298 0.765 0.907
O: 0.759 0.405 0.935
Ba: 0.231 0.390 0.287
Ba: 0.774 0.948 0.052
Ba: 0.231 0.713 0.610
Ba: 0.769 0.287 0.390
Ba: 0.226 0.052 0.948
Ba: 0.769 0.610 0.713
Ti: 0.770 0.927 0.412
Ti: 0.436 0.990 0.333
Ti: 0.915 0.622 0.378
Ti: 0.770 0.588 0.073
Ti: 0.557 0.665 0.335
Ti: 0.097 0.717 0.958
Ti: 0.230 0.412 0.927
Ti: 0.085 0.378 0.622
Ti: 0.903 0.958 0.717
Ti: 0.564 0.333 0.990
Ti: 0.903 0.283 0.042
Ti: 0.443 0.335 0.665
Ti: 0.564 0.010 0.667
Ti: 0.230 0.073 0.588
Ti: 0.436 0.667 0.010
Ti: 0.097 0.042 0.283
Li: 0.238 0.734 0.266
Li: 0.762 0.266 0.734

- E_form (uncorrected) (eV per atom) = -3.069
- total energy (eV/atom) = -8.70

***

Record 7
Density functional theory data (PBEsol) for a relaxed structure of BaLiOs.

a b c (Å): 2.880 4.234 5.872
angles (deg): 111.13 104.20 90.00
Atoms (fractional coordinates):
Ba: 0.010 0.010 0.019
Os: 0.704 0.704 0.409
Li: 0.286 0.286 0.572

- ΔE_f (eV/atom) = 0.79
- distance to the lowest polymorph of the same formula (kcal/mol of atoms) = 0.000
- total energy (eV/atom) = -4.65

***

Record 8
Density functional theory data (PBEsol) for a relaxed structure of BaLiOs.

a b c (Å): 4.813 4.813 4.813
angles (deg): 60.00 60.00 60.00
Each line ends with the local moment (μB).
Atoms (fractional coordinates):
Ba: 0.250 0.250 0.250  -0.02
Li: 0.000 0.000 0.000  -0.01
Os: 0.500 0.500 0.500  1.05

- ΔE_f (eV/atom) = 1.55
- distance to the lowest polymorph of the same formula (kcal/mol of atoms) = 17.519
- total energy (eV/atom) = -3.89

***

Record 9
Density functional theory data (PBEsol) for a relaxed structure of BaLiOs.

a b c (Å): 3.440 3.440 5.806
angles (deg): 107.23 107.23 90.00
Atoms (fractional coordinates):
Os: 0.704 0.704 0.409
Ba: 0.008 0.008 0.015
Li: 0.288 0.288 0.576

- ΔE_f (eV/atom) = 0.84
- distance to the lowest polymorph of the same formula (kcal/mol of atoms) = 1.065
- total energy (eV/atom) = -4.60

***

Record 10
Density functional theory data (PBEsol) for a relaxed structure of BaLiOs.

a b c (Å): 3.293 3.293 7.462
angles (deg): 90.00 90.00 120.00
Atoms (fractional coordinates):
Li: 0.333 0.667 0.593
Ba: 0.000 0.000 0.053
Os: 0.667 0.333 0.355

- ΔE_f (eV/atom) = 1.10
- distance to the lowest polymorph of the same formula (kcal/mol of atoms) = 7.034
- total energy (eV/atom) = -4.35

***

Record 11
Density functional theory data (PBEsol) for a relaxed structure of BaLiOs.

a b c (Å): 2.911 5.059 5.059
angles (deg): 120.00 90.00 90.00
Atoms (fractional coordinates):
Os: 0.502 0.667 0.333
Ba: 0.000 0.000 0.000
Li: 0.498 0.333 0.667

- ΔE_f (eV/atom) = 0.85
- distance to the lowest polymorph of the same formula (kcal/mol of atoms) = 1.345
- total energy (eV/atom) = -4.59

***

Record 12
Density functional theory data (PBEsol) for a relaxed structure of Ba2LiP.

a b c (Å): 4.656 4.656 6.321
angles (deg): 111.61 111.61 90.00
Atoms (fractional coordinates):
P: 0.250 0.750 0.500
Ba: 0.750 0.250 0.500
Ba: 0.000 0.000 0.000
Li: 0.500 0.500 0.000

- ΔE_f (eV/atom) = -0.33
- total energy (eV/atom) = -3.34

***

Among the records above, which one has the lowest total energy?
Ba3LiTa3Ti5O21